Below is crystalline HoScWO6 at its relaxed geometry, with properties calculated at the PBE with a Hubbard U level.

Values from the calculation:
Theoretical density (g cm⁻³): 6.9
DFT total energy (eV/f.u.): -74.22
Space-group type: P-31c, No. 163

Cell lengths 5.316, 5.316, 9.628 Å; angles 90.00, 90.00, 120.00 degrees
Sites, in units of the cell vectors:
1 O 0.635 0.658 0.638
2 O 0.023 0.365 0.638
3 O 0.023 0.658 0.862
4 O 0.365 0.342 0.362
5 O 0.977 0.635 0.362
6 O 0.342 0.977 0.638
7 O 0.635 0.977 0.862
8 O 0.658 0.023 0.362
9 O 0.977 0.342 0.138
10 O 0.365 0.023 0.138
11 O 0.342 0.365 0.862
12 O 0.658 0.635 0.138
13 Sc 0.333 0.667 0.250
14 Sc 0.667 0.333 0.750
15 Ho 0.000 0.000 0.500
16 Ho 0.000 0.000 0.000
17 W 0.333 0.667 0.750
18 W 0.667 0.333 0.250